No. 1
A relaxed structure of LaScPb. Source: Alexandria via LeMat-Bulk, functional PBE.

Calculated values
* formation energy from the elements: -0.188 eV/atom

abc: 7.3783 7.3783 7.3783
angles: 90.00 90.00 90.00
Last column: nearest neighbours and their distance in Å.
Space group F-43m (No. 216)
Symmetry-distinct sites (fractional):
1 La 0.0000 0.0000 0.0000  4 Pb 3.19
2 Sc 0.0000 0.0000 0.5000  4 Pb 3.19
3 Pb 0.2500 0.2500 0.2500  4 La 3.19, 4 Sc 3.19

=====

No. 2
A relaxed structure of Ca3ReAg. Source: Alexandria via LeMat-Bulk, functional PBE.

Calculated values
* formation energy from the elements: 1.039 eV/atom

abc: 5.5331 5.5331 5.5331
angles: 90.00 90.00 90.00
Last column: nearest neighbours and their distance in Å.
Space group Pm-3m (No. 221)
Symmetry-distinct sites (fractional):
1 Ca 0.0000 0.0000 0.5000  2 Ag 2.77
2 Re 0.5000 0.5000 0.5000  12 Ca 3.91
3 Ag 0.0000 0.0000 0.0000  6 Ca 2.77

=====

No. 3
A relaxed structure of LuHfAlRh. Source: Alexandria via LeMat-Bulk, functional PBE.

Calculated values
* formation energy from the elements: -0.520 eV/atom

abc: 6.7701 6.7701 6.7701
angles: 90.00 90.00 90.00
Last column: nearest neighbours and their distance in Å.
Space group F-43m (No. 216)
Symmetry-distinct sites (fractional):
1 Lu 0.0000 0.0000 0.0000  4 Al 2.93, 4 Rh 2.93
2 Hf 0.0000 0.0000 0.5000  4 Rh 2.93, 4 Al 2.93
3 Al 0.2500 0.2500 0.2500  4 Hf 2.93, 4 Lu 2.93
4 Rh 0.2500 0.2500 0.7500  4 Hf 2.93, 4 Lu 2.93

=====

No. 4
A relaxed structure of Dy3IrPt. Source: Alexandria via LeMat-Bulk, functional PBE.

Calculated values
* formation energy from the elements: -0.938 eV/atom

abc: 14.6548 4.8136 8.3377
angles: 90.00 124.58 90.00
Last column: nearest neighbours and their distance in Å.
Space group C2/m (No. 12)
Symmetry-distinct sites (fractional):
1 Dy 0.0809 0.0000 0.2438  2 Ir 2.92-2.96, 3 Pt 2.96-3.10
2 Dy 0.0842 0.5000 0.7543  3 Ir 2.93-3.04, 2 Pt 2.96-2.98
3 Dy 0.2493 0.5000 0.2444  3 Ir 2.93-2.94, 3 Pt 3.00
4 Ir 0.1642 0.0000 0.9977  8 Dy 2.92-3.04
5 Pt 0.1626 0.5000 0.4957  8 Dy 2.96-3.10

=====

No. 5
A relaxed structure of CdInSn3. Source: Alexandria via LeMat-Bulk, functional PBE.

Calculated values
* formation energy from the elements: 0.079 eV/atom

abc: 10.0792 4.1866 13.3573
angles: 90.00 90.00 90.00
Last column: nearest neighbours and their distance in Å.
Space group Pnma (No. 62)
Symmetry-distinct sites (fractional):
1 Cd 0.1465 0.2500 0.1164  5 Sn 2.94-3.26
2 In 0.1371 0.2500 0.5090  5 Sn 3.30-3.59, 2 Cd 3.35, 2 In 3.47
3 Sn 0.0894 0.2500 0.8982  3 Cd 2.97-3.17, 3 Sn 3.11-3.15
4 Sn 0.1006 0.7500 0.7258  2 Cd 2.94-3.26, 4 Sn 3.09-3.11
5 Sn 0.1172 0.7500 0.3181  3 Sn 3.09-3.15, 3 In 3.30-3.45, 2 Cd 3.43

=====

No. 6
A relaxed structure of LiCe2Pt6. Source: Alexandria via LeMat-Bulk, functional PBE.

Calculated values
* formation energy from the elements: -0.883 eV/atom

abc: 5.6294 5.6294 5.9525
angles: 90.00 90.00 120.00
Last column: nearest neighbours and their distance in Å.
Space group P-3m1 (No. 164)
Symmetry-distinct sites (fractional):
1 Li 0.0000 0.0000 0.0000  6 Pt 2.47
2 Ce 0.3333 0.6667 0.1655  9 Pt 2.94-3.23
3 Pt 0.1706 0.3412 0.6926  1 Li 2.47, 2 Pt 2.75

=====

No. 7
A relaxed structure of MnAgP. Source: Alexandria via LeMat-Bulk, functional PBE.

Calculated values
* formation energy from the elements: 0.141 eV/atom

abc: 3.8273 3.8273 3.6226
angles: 90.00 90.00 120.00
Last column: nearest neighbours and their distance in Å.
Space group P-6m2 (No. 187)
Symmetry-distinct sites (fractional):
1 Mn 0.0000 0.0000 0.0000  3 P 2.21
2 Ag 0.6667 0.3333 0.5000  6 Mn 2.86, 6 P 2.86
3 P 0.3333 0.6667 0.0000  3 Mn 2.21

=====

No. 8
A relaxed structure of CuIr2. Source: Alexandria via LeMat-Bulk, functional PBE.

Calculated values
* formation energy from the elements: 0.101 eV/atom

abc: 9.9233 2.7167 6.4195
angles: 90.00 104.68 90.00
Last column: nearest neighbours and their distance in Å.
Space group Cm (No. 8)
Symmetry-distinct sites (fractional):
1 Cu 0.0000 0.0000 0.0000  4 Cu 2.60-2.72, 8 Ir 2.65-2.81
2 Cu 0.1535 0.5000 0.3179  4 Cu 2.60-2.72, 8 Ir 2.66-2.74
3 Ir 0.0452 0.0000 0.6086  3 Cu 2.66-2.74, 9 Ir 2.68-2.77
4 Ir 0.2253 0.5000 0.9405  8 Ir 2.65-2.77, 4 Cu 2.65-2.72
5 Ir 0.3223 0.0000 0.6546  8 Ir 2.64-2.72, 4 Cu 2.74-2.81
6 Ir 0.3797 0.0000 0.2743  7 Ir 2.64-2.72, 5 Cu 2.66-2.73

=====

No. 9
A relaxed structure of K2RbNa. Source: Alexandria via LeMat-Bulk, functional PBE.

Calculated values
* formation energy from the elements: 0.027 eV/atom

abc: 10.1442 10.1442 10.1442
angles: 90.00 90.00 90.00
Last column: nearest neighbours and their distance in Å.
Space group Fm-3m (No. 225)
Symmetry-distinct sites (fractional):
1 K 0.2500 0.2500 0.2500  4 Na 4.39, 4 Rb 4.39
2 Rb 0.0000 0.0000 0.0000  8 K 4.39
3 Na 0.0000 0.0000 0.5000  8 K 4.39

=====

No. 10
A relaxed structure of Pm6ZnHg5. Source: Alexandria via LeMat-Bulk, functional PBE.

Calculated values
* formation energy from the elements: -0.443 eV/atom

abc: 5.3449 7.6159 8.4631
angles: 90.00 108.51 90.00
Last column: nearest neighbours and their distance in Å.
Space group P2/m (No. 10)
Symmetry-distinct sites (fractional):
1 Pm 0.0000 0.2440 0.0000  6 Hg 3.24-3.31, 2 Zn 3.26
2 Pm 0.3364 0.2463 0.6714  1 Zn 3.24, 7 Hg 3.26-3.33
3 Zn 0.5000 0.0000 0.0000  8 Pm 3.24-3.26
4 Hg 0.1648 0.0000 0.3314  8 Pm 3.24-3.31
5 Hg 0.1662 0.5000 0.3340  8 Pm 3.30-3.33
6 Hg 0.5000 0.5000 0.0000  8 Pm 3.27-3.31

=====

No. 11
A relaxed structure of Sr2NiCl6. Source: Alexandria via LeMat-Bulk, functional PBE.

Calculated values
* E_form (uncorrected): -1.761 eV per atom

abc: 6.4184 6.4184 12.4620
angles: 90.00 90.00 90.00
Last column: nearest neighbours and their distance in Å.
Space group P4_2/mnm (No. 136)
Symmetry-distinct sites (fractional):
1 Sr 0.0000 0.0000 0.1666  6 Cl 2.90-2.93
2 Ni 0.0000 0.0000 0.5000  6 Cl 2.43-2.47
3 Cl 0.1827 0.1827 0.3574  1 Ni 2.43
4 Cl 0.2276 0.2276 0.0000  1 Ni 2.47

=====

No. 12
A relaxed structure of HfZnPd. Source: Alexandria via LeMat-Bulk, functional PBE.

Calculated values
* formation energy from the elements: -0.083 eV/atom

abc: 2.9287 4.2868 4.7395
angles: 90.00 90.00 90.00
Last column: nearest neighbours and their distance in Å.
Space group Pmmm (No. 47)
Symmetry-distinct sites (fractional):
1 Hf 0.0000 0.0000 0.0000  4 Pd 2.79, 2 Hf 2.93
2 Zn 0.0000 0.5000 0.5000  4 Pd 2.60
3 Pd 0.5000 0.0000 0.5000  4 Zn 2.60, 4 Hf 2.79

=====

No. 13
A relaxed structure of Mn2FeSi. Source: Alexandria via LeMat-Bulk, functional PBE.

Calculated values
* E_form (uncorrected): -0.240 eV per atom

abc: 2.8142 2.8142 5.5951
angles: 90.00 90.00 90.00
Last column: nearest neighbours and their distance in Å.
Space group P4mm (No. 99)
Symmetry-distinct sites (fractional):
1 Mn 0.0000 0.0000 0.0000  4 Mn 2.44, 4 Fe 2.47
2 Mn 0.5000 0.5000 0.2513  4 Mn 2.44, 4 Si 2.45, 1 Fe 2.72
3 Fe 0.5000 0.5000 0.7371  4 Si 2.37, 4 Mn 2.47
4 Si 0.0000 0.0000 0.5077  4 Fe 2.37, 4 Mn 2.45

=====

No. 14
A relaxed structure of Na2MgTl. Source: Alexandria via LeMat-Bulk, functional PBE.

Calculated values
* formation energy from the elements: 0.094 eV/atom

abc: 3.3999 3.3999 35.8656
angles: 90.00 90.00 120.00
Last column: nearest neighbours and their distance in Å.
Space group R-3m (No. 166, hexagonal axes)
Symmetry-distinct sites (fractional):
1 Na 0.0000 0.0000 0.0892  1 Mg 3.20, 6 Na 3.40, 3 Tl 3.40
2 Mg 0.0000 0.0000 0.0000  2 Na 3.20, 6 Mg 3.40
3 Tl 0.0000 0.0000 0.5000  6 Tl 3.40, 6 Na 3.40

=====

No. 15
A relaxed structure of Pa2Ni2Ag. Source: Alexandria via LeMat-Bulk, functional PBE.

Calculated values
* formation energy from the elements: -0.238 eV/atom

abc: 7.4343 7.4343 3.4697
angles: 90.00 90.00 90.00
Last column: nearest neighbours and their distance in Å.
Space group P4/mbm (No. 127)
Symmetry-distinct sites (fractional):
1 Pa 0.1719 0.3281 0.0000  6 Ni 2.74-2.83
2 Ni 0.1260 0.6260 0.5000  1 Ni 2.65, 6 Pa 2.74-2.83, 2 Ag 2.93
3 Ag 0.0000 0.0000 0.5000  4 Ni 2.93, 8 Pa 3.25

=====

No. 16
A relaxed structure of SrSmBi. Source: Alexandria via LeMat-Bulk, functional PBE.

Calculated values
* formation energy from the elements: -0.367 eV/atom

abc: 5.3162 5.3162 4.7515
angles: 90.00 90.00 120.00
Last column: nearest neighbours and their distance in Å.
Space group P3m1 (No. 156)
Symmetry-distinct sites (fractional):
1 Sr 0.0000 0.0000 0.0000  3 Bi 3.61, 6 Sm 3.84-3.92
2 Sm 0.6667 0.3333 0.5135  3 Bi 3.12
3 Bi 0.3333 0.6667 0.4010  3 Sm 3.12

=====

No. 17
A relaxed structure of HfTi2Al2. Source: Alexandria via LeMat-Bulk, functional PBE.

Calculated values
* formation energy from the elements: -0.172 eV/atom

abc: 7.8734 7.8734 2.8539
angles: 90.00 90.00 90.00
Last column: nearest neighbours and their distance in Å.
Space group P4/mbm (No. 127)
Symmetry-distinct sites (fractional):
1 Hf 0.0000 0.0000 0.0000  2 Hf 2.85, 4 Ti 3.15
2 Ti 0.1175 0.3825 0.0000  3 Ti 2.62-2.85, 6 Al 2.68-2.78
3 Al 0.1789 0.6789 0.5000  6 Ti 2.68-2.78, 2 Al 2.85

=====

No. 18
A relaxed structure of TbNd4Tl5. Source: Alexandria via LeMat-Bulk, functional PBE.

Calculated values
* formation energy from the elements: -0.385 eV/atom

abc: 3.8491 3.8491 19.8032
angles: 90.00 90.00 90.00
Last column: nearest neighbours and their distance in Å.
Space group P4/mmm (No. 123)
Symmetry-distinct sites (fractional):
1 Tb 0.0000 0.0000 0.0000  8 Tl 3.29
2 Nd 0.0000 0.0000 0.1955  8 Tl 3.38-3.39
3 Nd 0.0000 0.0000 0.3987  8 Tl 3.38-3.39
4 Tl 0.5000 0.5000 0.0936  4 Tb 3.29, 4 Nd 3.39
5 Tl 0.5000 0.5000 0.2969  8 Nd 3.38-3.39
6 Tl 0.5000 0.5000 0.5000  8 Nd 3.38

=====

No. 19
A relaxed structure of KLiN2. Source: Alexandria via LeMat-Bulk, functional PBE.

Calculated values
* E_form (uncorrected): 1.441 eV per atom

abc: 6.3516 6.3516 6.3516
angles: 90.00 90.00 90.00
Last column: nearest neighbours and their distance in Å.
Space group Fm-3m (No. 225)
Symmetry-distinct sites (fractional):
1 K 0.0000 0.0000 0.0000  8 N 2.75
2 Li 0.0000 0.0000 0.5000  8 N 2.75
3 N 0.2500 0.2500 0.2500  4 K 2.75, 4 Li 2.75

=====

No. 20
A relaxed structure of PuCuOsO6. Source: Alexandria via LeMat-Bulk, functional PBE.

Calculated values
* E_form (uncorrected): -1.501 eV per atom

abc: 5.2528 5.2528 9.0609
angles: 90.00 90.00 120.00
Last column: nearest neighbours and their distance in Å.
Space group P-31c (No. 163)
Symmetry-distinct sites (fractional):
1 Pu 0.3333 0.6667 0.2500  6 O 2.13
2 Cu 0.0000 0.0000 0.0000  6 O 2.15
3 Os 0.3333 0.6667 0.7500  6 O 1.97
4 O 0.0229 0.3541 0.6287  1 Os 1.97, 1 Pu 2.13, 1 Cu 2.15

=====

Number 1: magnetization 3.23 μB/cell, VASP energy -5.177 eV/atom, calculated density 6.47 Mg/m³. Number 2: magnetization 3.29 μB/cell, VASP energy -3.222 eV/atom, calculated density 4.06 Mg/m³. Number 3: magnetization 0.00 μB/cell, VASP energy -6.912 eV/atom, calculated density 10.35 Mg/m³. Number 4: magnetization 0.00 μB/cell, VASP energy -6.680 eV/atom, calculated density 12.00 Mg/m³. Number 5: magnetization 0.00 μB/cell, VASP energy -3.054 eV/atom, calculated density 6.87 Mg/m³. Number 6: magnetization 0.56 μB/cell, VASP energy -6.442 eV/atom, calculated density 14.82 Mg/m³. Number 7: magnetization 1.70 μB/cell, VASP energy -5.669 eV/atom, calculated density 7.00 Mg/m³. Number 8: magnetization 0.00 μB/cell, VASP energy -7.172 eV/atom, calculated density 17.77 Mg/m³. Number 9: magnetization 0.00 μB/cell, VASP energy -1.094 eV/atom, calculated density 1.19 Mg/m³. Number 10: magnetization 2.42 μB/cell, VASP energy -3.050 eV/atom, calculated density 9.85 Mg/m³. Number 11: magnetization 4.05 μB/cell, VASP energy -4.008 eV/atom, calculated density 2.89 Mg/m³. Number 12: magnetization 0.00 μB/cell, VASP energy -5.556 eV/atom, calculated density 9.78 Mg/m³. Number 13: magnetization 2.15 μB/cell, VASP energy -8.296 eV/atom, calculated density 7.26 Mg/m³. Number 14: magnetization 0.00 μB/cell, VASP energy -1.555 eV/atom, calculated density 3.81 Mg/m³. Number 15: magnetization 0.00 μB/cell, VASP energy -6.919 eV/atom, calculated density 11.90 Mg/m³. Number 16: magnetization 0.00 μB/cell, VASP energy -3.795 eV/atom, calculated density 6.38 Mg/m³. Number 17: magnetization 0.00 μB/cell, VASP energy -6.818 eV/atom, calculated density 6.16 Mg/m³. Number 18: magnetization 0.00 μB/cell, VASP energy -3.938 eV/atom, calculated density 9.95 Mg/m³. Number 19: magnetization 16.00 μB/cell, VASP energy -3.474 eV/atom, calculated density 1.92 Mg/m³. Number 20: magnetization 5.67 μB/cell, VASP energy -8.102 eV/atom, calculated density 9.11 Mg/m³.